# MnMo2Se PBE-GGA optimized geometry
# Raw total energy = -8.43 eV per atom
# Volume = 58 Å³ per cell
# Energy relative to the elements, uncorrected = 144 meV/atom
# Space group = No. 123
data_MnMo2Se
_cell_length_a 2.954
_cell_length_b 2.954
_cell_length_c 6.649
_cell_angle_alpha 90.00
_cell_angle_beta 90.00
_cell_angle_gamma 90.00
_symmetry_space_group_name_H-M 'P 1'
_symmetry_Int_Tables_number 1
loop_
_symmetry_equiv_pos_as_xyz
'x,y,z'
loop_
_atom_site_label
_atom_site_type_symbol
_atom_site_fract_x
_atom_site_fract_y
_atom_site_fract_z
Mo1 Mo 0.000 0.000 0.511
Mo2 Mo 0.000 0.000 0.989
Se1 Se 0.500 0.500 0.250
Mn1 Mn 0.500 0.500 0.750